(1)
# PBEsol ReAuS2, optimized geometry
data_ReAuS2
_chemical_formula_sum 'Re3 Au3 S6'
_cell_length_a 3.1487
_cell_length_b 3.1487
_cell_length_c 23.4020
_cell_angle_alpha 90.00
_cell_angle_beta 90.00
_cell_angle_gamma 120.00
_space_group_name_H-M_alt 'R -3 m'
_space_group_IT_number 166
_space_group_name_Hall '-R 3 2"'
loop_
_atom_site_label
_atom_site_type_symbol
_atom_site_fract_x
_atom_site_fract_y
_atom_site_fract_z
Re1 Re 0.0000 0.0000 0.0000
Au1 Au 0.0000 0.0000 0.5000
S1 S 0.0000 0.0000 0.3998
# Total energy   -79.501 eV per cell


(2)
# PBEsol ReSb2Au, optimized geometry
data_ReSb2Au
_chemical_formula_sum 'Re2 Sb4 Au2'
_cell_length_a 3.1472
_cell_length_b 4.1393
_cell_length_c 12.8115
_cell_angle_alpha 90.00
_cell_angle_beta 90.00
_cell_angle_gamma 90.00
_space_group_name_H-M_alt 'I m m 2'
_space_group_IT_number 44
loop_
_space_group_symop_operation_xyz
'x,y,z'
'-x,-y,z'
'-x,y,z'
'x,-y,z'
'x+1/2,y+1/2,z+1/2'
'-x+1/2,-y+1/2,z+1/2'
'-x+1/2,y+1/2,z+1/2'
'x+1/2,-y+1/2,z+1/2'
loop_
_atom_site_label
_atom_site_type_symbol
_atom_site_fract_x
_atom_site_fract_y
_atom_site_fract_z
Re1 Re 0.0000 0.0000 0.0000
Sb1 Sb 0.0000 0.0000 0.4451
Sb2 Sb 0.0000 0.5000 0.6709
Au1 Au 0.0000 0.5000 0.2898
# Energy relative to the lowest polymorph listed for this composition   0 meV/atom


(3)
# PBEsol ReSb3Au, optimized geometry
data_ReSb3Au
_chemical_formula_sum 'Re1 Sb3 Au1'
_cell_length_a 5.0884
_cell_length_b 5.0884
_cell_length_c 5.0884
_cell_angle_alpha 90.00
_cell_angle_beta 90.00
_cell_angle_gamma 90.00
_space_group_name_H-M_alt 'P m -3 m'
_space_group_IT_number 221
_space_group_name_Hall '-P 4 2 3'
loop_
_atom_site_label
_atom_site_type_symbol
_atom_site_fract_x
_atom_site_fract_y
_atom_site_fract_z
Re1 Re 0.0000 0.0000 0.0000
Sb1 Sb 0.0000 0.0000 0.5000
Au1 Au 0.5000 0.5000 0.5000
# Total energy   -27.036 eV per cell


(4)
# PBEsol ReSb2Au, optimized geometry
data_ReSb2Au
_chemical_formula_sum 'Re2 Sb4 Au2'
_cell_length_a 3.1627
_cell_length_b 5.1745
_cell_length_c 10.0710
_cell_angle_alpha 90.00
_cell_angle_beta 90.00
_cell_angle_gamma 90.00
_space_group_name_H-M_alt 'C m m 2'
_space_group_IT_number 35
loop_
_space_group_symop_operation_xyz
'x,y,z'
'-x,-y,z'
'-x,y,z'
'x,-y,z'
'x+1/2,y+1/2,z'
'-x+1/2,-y+1/2,z'
'-x+1/2,y+1/2,z'
'x+1/2,-y+1/2,z'
loop_
_atom_site_label
_atom_site_type_symbol
_atom_site_fract_x
_atom_site_fract_y
_atom_site_fract_z
Re1 Re 0.0000 0.0000 0.0000
Sb1 Sb 0.0000 0.0000 0.5442
Sb2 Sb 0.0000 0.5000 0.2169
Au1 Au 0.0000 0.5000 0.7800
# Energy relative to the lowest polymorph listed for this composition   169 meV/atom


(5)
# PBEsol ReSb2Au, optimized geometry
data_ReSb2Au
_chemical_formula_sum 'Re4 Sb8 Au4'
_cell_length_a 6.1298
_cell_length_b 6.1298
_cell_length_c 11.6737
_cell_angle_alpha 90.00
_cell_angle_beta 90.00
_cell_angle_gamma 90.00
_space_group_name_H-M_alt 'I -4 2 d'
_space_group_IT_number 122
_space_group_name_Hall 'I -4 2bw'
loop_
_atom_site_label
_atom_site_type_symbol
_atom_site_fract_x
_atom_site_fract_y
_atom_site_fract_z
Re1 Re 0.0000 0.0000 0.0000
Sb1 Sb 0.2312 0.2500 0.1250
Au1 Au 0.0000 0.0000 0.5000
# Energy relative to the lowest polymorph listed for this composition   311 meV/atom


(6)
# PBEsol ReSbAu, optimized geometry
data_ReSbAu
_chemical_formula_sum 'Re4 Sb4 Au4'
_cell_length_a 6.2333
_cell_length_b 6.2333
_cell_length_c 6.2333
_cell_angle_alpha 90.00
_cell_angle_beta 90.00
_cell_angle_gamma 90.00
_space_group_name_H-M_alt 'F -4 3 m'
_space_group_IT_number 216
_space_group_name_Hall 'F -4 2 3'
loop_
_atom_site_label
_atom_site_type_symbol
_atom_site_fract_x
_atom_site_fract_y
_atom_site_fract_z
Re1 Re 0.0000 0.0000 0.0000
Sb1 Sb 0.2500 0.2500 0.2500
Au1 Au 0.2500 0.2500 0.7500
# Total energy   -80.332 eV per cell


(7)
# PBEsol ReSb2TeAu, optimized geometry
data_ReSb2TeAu
_chemical_formula_sum 'Re1 Sb2 Te1 Au1'
_cell_length_a 5.2016
_cell_length_b 5.2016
_cell_length_c 5.2727
_cell_angle_alpha 90.00
_cell_angle_beta 90.00
_cell_angle_gamma 90.00
_space_group_name_H-M_alt 'P 4/m m m'
_space_group_IT_number 123
_space_group_name_Hall '-P 4 2'
loop_
_atom_site_label
_atom_site_type_symbol
_atom_site_fract_x
_atom_site_fract_y
_atom_site_fract_z
Re1 Re 0.0000 0.0000 0.0000
Sb1 Sb 0.0000 0.5000 0.5000
Te1 Te 0.5000 0.5000 0.0000
Au1 Au 0.5000 0.5000 0.5000
# Total energy   -21.576 eV per cell


(8)
# PBEsol ReSn2AuSe, optimized geometry
data_ReSn2AuSe
_chemical_formula_sum 'Re1 Sn2 Au1 Se1'
_cell_length_a 5.1774
_cell_length_b 5.1774
_cell_length_c 4.8625
_cell_angle_alpha 90.00
_cell_angle_beta 90.00
_cell_angle_gamma 90.00
_space_group_name_H-M_alt 'P 4/m m m'
_space_group_IT_number 123
_space_group_name_Hall '-P 4 2'
loop_
_atom_site_label
_atom_site_type_symbol
_atom_site_fract_x
_atom_site_fract_y
_atom_site_fract_z
Re1 Re 0.0000 0.0000 0.0000
Sn1 Sn 0.0000 0.5000 0.0000
Au1 Au 0.0000 0.0000 0.5000
Se1 Se 0.5000 0.5000 0.5000
# Total energy   -25.725 eV per cell


(9)
# PBEsol ReSn3Au, optimized geometry
data_ReSn3Au
_chemical_formula_sum 'Re1 Sn3 Au1'
_cell_length_a 5.1716
_cell_length_b 5.1716
_cell_length_c 5.1716
_cell_angle_alpha 90.00
_cell_angle_beta 90.00
_cell_angle_gamma 90.00
_space_group_name_H-M_alt 'P m -3 m'
_space_group_IT_number 221
_space_group_name_Hall '-P 4 2 3'
loop_
_atom_site_label
_atom_site_type_symbol
_atom_site_fract_x
_atom_site_fract_y
_atom_site_fract_z
Re1 Re 0.0000 0.0000 0.0000
Sn1 Sn 0.0000 0.5000 0.5000
Au1 Au 0.5000 0.5000 0.5000
# ΔH_f (0 K)   1.464 eV/atom


(10)
# PBEsol Sr2ReAu, optimized geometry
data_Sr2ReAu
_chemical_formula_sum 'Sr4 Re2 Au2'
_cell_length_a 4.4675
_cell_length_b 4.4675
_cell_length_c 9.5821
_cell_angle_alpha 90.00
_cell_angle_beta 90.00
_cell_angle_gamma 90.00
_space_group_name_H-M_alt 'I -4 m 2'
_space_group_IT_number 119
_space_group_name_Hall 'I -4 -2'
loop_
_atom_site_label
_atom_site_type_symbol
_atom_site_fract_x
_atom_site_fract_y
_atom_site_fract_z
Sr1 Sr 0.0000 0.0000 0.0000
Sr2 Sr 0.0000 0.5000 0.2500
Re1 Re 0.0000 0.5000 0.7500
Au1 Au 0.0000 0.0000 0.5000
# Energy relative to the lowest polymorph listed for this composition   220 meV/atom
# ΔH_f (0 K)   0.759 eV/atom


(11)
# PBEsol SrReAu2, optimized geometry
data_SrReAu2
_chemical_formula_sum 'Sr4 Re4 Au8'
_cell_length_a 6.8622
_cell_length_b 6.8622
_cell_length_c 6.8622
_cell_angle_alpha 90.00
_cell_angle_beta 90.00
_cell_angle_gamma 90.00
_space_group_name_H-M_alt 'F m -3 m'
_space_group_IT_number 225
_space_group_name_Hall '-F 4 2 3'
loop_
_atom_site_label
_atom_site_type_symbol
_atom_site_fract_x
_atom_site_fract_y
_atom_site_fract_z
Sr1 Sr 0.0000 0.0000 0.0000
Re1 Re 0.0000 0.0000 0.5000
Au1 Au 0.2500 0.2500 0.2500
# Energy relative to the lowest polymorph listed for this composition   219 meV/atom
# ΔH_f (0 K)   0.595 eV/atom


(12)
# PBEsol SrReAu2, optimized geometry
data_SrReAu2
_chemical_formula_sum 'Sr1 Re1 Au2'
_cell_length_a 5.0371
_cell_length_b 5.0371
_cell_length_c 2.9733
_cell_angle_alpha 90.00
_cell_angle_beta 90.00
_cell_angle_gamma 90.00
_space_group_name_H-M_alt 'P 4/m m m'
_space_group_IT_number 123
_space_group_name_Hall '-P 4 2'
loop_
_atom_site_label
_atom_site_type_symbol
_atom_site_fract_x
_atom_site_fract_y
_atom_site_fract_z
Sr1 Sr 0.0000 0.0000 0.0000
Re1 Re 0.5000 0.5000 0.0000
Au1 Au 0.0000 0.5000 0.5000
# Energy relative to the lowest polymorph listed for this composition   0 meV/atom
# ΔH_f (0 K)   0.376 eV/atom


(13)
# PBEsol SrReAu2, optimized geometry
data_SrReAu2
_chemical_formula_sum 'Sr4 Re4 Au8'
_cell_length_a 6.8152
_cell_length_b 6.8152
_cell_length_c 6.8152
_cell_angle_alpha 90.00
_cell_angle_beta 90.00
_cell_angle_gamma 90.00
_space_group_name_H-M_alt 'F -4 3 m'
_space_group_IT_number 216
_space_group_name_Hall 'F -4 2 3'
loop_
_atom_site_label
_atom_site_type_symbol
_atom_site_fract_x
_atom_site_fract_y
_atom_site_fract_z
Sr1 Sr 0.0000 0.0000 0.0000
Re1 Re 0.2500 0.2500 0.7500
Au1 Au 0.0000 0.0000 0.5000
Au2 Au 0.2500 0.2500 0.2500
# Energy relative to the lowest polymorph listed for this composition   392 meV/atom
# ΔH_f (0 K)   0.768 eV/atom


(14)
# PBEsol Sr2ReAu, optimized geometry
data_Sr2ReAu
_chemical_formula_sum 'Sr2 Re1 Au1'
_cell_length_a 3.3585
_cell_length_b 3.3585
_cell_length_c 8.5410
_cell_angle_alpha 90.00
_cell_angle_beta 90.00
_cell_angle_gamma 90.00
_space_group_name_H-M_alt 'P 4/m m m'
_space_group_IT_number 123
_space_group_name_Hall '-P 4 2'
loop_
_atom_site_label
_atom_site_type_symbol
_atom_site_fract_x
_atom_site_fract_y
_atom_site_fract_z
Sr1 Sr 0.0000 0.0000 0.2453
Re1 Re 0.5000 0.5000 0.0000
Au1 Au 0.5000 0.5000 0.5000
# Energy relative to the lowest polymorph listed for this composition   0 meV/atom
# ΔH_f (0 K)   0.539 eV/atom


(15)
# PBEsol Ta2ReAu, optimized geometry
data_Ta2ReAu
_chemical_formula_sum 'Ta6 Re3 Au3'
_cell_length_a 2.8166
_cell_length_b 2.8166
_cell_length_c 29.1860
_cell_angle_alpha 90.00
_cell_angle_beta 90.00
_cell_angle_gamma 120.00
_space_group_name_H-M_alt 'R 3 m'
_space_group_IT_number 160
_space_group_name_Hall 'R 3 -2"'
loop_
_atom_site_label
_atom_site_type_symbol
_atom_site_fract_x
_atom_site_fract_y
_atom_site_fract_z
Ta1 Ta 0.0000 0.0000 0.0000
Ta2 Ta 0.0000 0.0000 0.2454
Re1 Re 0.0000 0.0000 0.4969
Au1 Au 0.0000 0.0000 0.7493
# Energy relative to the lowest polymorph listed for this composition   239 meV/atom
# ΔH_f (0 K)   0.258 eV/atom


no.,size of the total moment (μB per formula unit)
1,0.0
2,0.0
3,0.0
4,0.0
5,0.0
6,0.0
7,3.1
8,0.0
9,3.3
10,1.9
11,2.5
12,0.3
13,3.0
14,1.2
15,0.0